Record 1
The following is a PBE calculation of a geometry-optimized Mn2TeHPd structure, from the Alexandria database.

Computed properties:
Uncorrected energy (eV per cell): -29.83
D(E_F) (states/eV/f.u.): 3.5

abc: 4.078 4.078 4.141
angles: 90.00 90.00 90.00
Last column: magnetic moment on the atom in μB.
Sites, in units of the cell vectors:
Te1 0.500 0.500 0.500  0.01
H1 0.000 0.000 0.000  -0.03
Mn1 0.000 0.500 0.000  3.43
Mn2 0.500 0.000 0.000  3.43
Pd1 0.000 0.000 0.500  0.11


Record 2
The following is a PBE calculation of a geometry-optimized Ti2MnHPd structure, from the Alexandria database.

Computed properties:
Uncorrected energy (eV per cell): -35.19
D(E_F) (states/eV/f.u.): 4.9

abc: 4.208 4.208 3.416
angles: 90.00 90.00 90.00
Last column: magnetic moment on the atom in μB.
Sites, in units of the cell vectors:
Pd1 0.500 0.500 0.500  -0.08
H1 0.000 0.000 0.000  0.00
Mn1 0.000 0.000 0.500  0.89
Ti1 0.500 0.000 0.000  -0.36
Ti2 0.000 0.500 0.000  -0.36


Record 3
The following is a PBE calculation of a geometry-optimized TiMn2HPd structure, from the Alexandria database.

Computed properties:
Uncorrected energy (eV per cell): -35.78
D(E_F) (states/eV/f.u.): 3.9

abc: 3.809 3.809 4.018
angles: 90.00 90.00 90.00
Last column: magnetic moment on the atom in μB.
Sites, in units of the cell vectors:
Pd1 0.500 0.500 0.500  0.10
H1 0.000 0.000 0.000  -0.02
Mn1 0.500 0.000 0.000  2.69
Mn2 0.000 0.500 0.000  2.69
Ti1 0.000 0.000 0.500  -0.71


Record 4
The following is a PBE calculation of a geometry-optimized MnTlHPd2 structure, from the Alexandria database.

Computed properties:
Uncorrected energy (eV per cell): -25.51
D(E_F) (states/eV/f.u.): 3.6

abc: 4.141 4.141 4.084
angles: 90.00 90.00 90.00
Last column: magnetic moment on the atom in μB.
Sites, in units of the cell vectors:
Tl1 0.500 0.500 0.500  -0.06
Pd1 0.000 0.500 0.000  0.05
Pd2 0.500 0.000 0.000  0.05
Mn1 0.000 0.000 0.500  3.73
H1 0.000 0.000 0.000  -0.02


Record 5
The following is a PBE calculation of a geometry-optimized Mn2VHPd structure, from the Alexandria database.

Computed properties:
Uncorrected energy (eV per cell): -36.42
D(E_F) (states/eV/f.u.): 3.6

abc: 3.868 3.868 3.771
angles: 90.00 90.00 90.00
Last column: magnetic moment on the atom in μB.
Sites, in units of the cell vectors:
H1 0.000 0.000 0.000  -0.02
Pd1 0.500 0.500 0.500  0.11
Mn1 0.000 0.500 0.000  2.77
Mn2 0.500 0.000 0.000  2.77
V1 0.000 0.000 0.500  -1.73


Record 6
The following is a PBE calculation of a geometry-optimized MnVHPd2 structure, from the Alexandria database.

Computed properties:
Uncorrected energy (eV per cell): -32.76
D(E_F) (states/eV/f.u.): 2.3

abc: 3.899 3.899 4.030
angles: 90.00 90.00 90.00
Last column: magnetic moment on the atom in μB.
Sites, in units of the cell vectors:
H1 0.000 0.000 0.000  0.00
V1 0.000 0.000 0.500  -2.21
Pd1 0.500 0.000 0.000  -0.01
Pd2 0.000 0.500 0.000  -0.01
Mn1 0.500 0.500 0.500  3.45


Record 7
The following is a PBE calculation of a geometry-optimized Mn2HPdW structure, from the Alexandria database.

Computed properties:
Energy above the lowest structure with this stoichiometry (meV/atom): 5.4
D(E_F) (states/eV/f.u.): 4.0

abc: 3.821 3.821 3.843
angles: 90.00 90.00 90.00
Last column: magnetic moment on the atom in μB.
Sites, in units of the cell vectors:
W1 0.000 0.000 0.500  -0.67
Mn1 0.500 0.000 0.000  1.64
Mn2 0.000 0.500 0.000  1.64
H1 0.000 0.000 0.000  -0.01
Pd1 0.500 0.500 0.500  -0.06


Record 8
The following is a PBE calculation of a geometry-optimized Mn2HPdW structure, from the Alexandria database.

Computed properties:
Energy above the lowest structure with this stoichiometry (meV/atom): 0.0
D(E_F) (states/eV/f.u.): 3.4

abc: 3.898 3.898 3.711
angles: 90.00 90.00 90.00
Last column: magnetic moment on the atom in μB.
Sites, in units of the cell vectors:
Pd1 0.000 0.000 0.500  -0.04
H1 0.000 0.000 0.000  -0.02
W1 0.500 0.500 0.500  -0.88
Mn1 0.000 0.500 0.000  1.90
Mn2 0.500 0.000 0.000  1.90


Record 9
The following is a PBE calculation of a geometry-optimized Zr2MnHPd structure, from the Alexandria database.

Computed properties:
Uncorrected energy (eV per cell): -36.47
D(E_F) (states/eV/f.u.): 3.3

abc: 4.595 4.595 3.449
angles: 90.00 90.00 90.00
Last column: magnetic moment on the atom in μB.
Sites, in units of the cell vectors:
Pd1 0.500 0.500 0.500  -0.01
Mn1 0.000 0.000 0.500  1.07
H1 0.000 0.000 0.000  0.00
Zr1 0.500 0.000 0.000  -0.20
Zr2 0.000 0.500 0.000  -0.20


Record 10
The following is a PBE calculation of a geometry-optimized ZrMnHPd2 structure, from the Alexandria database.

Computed properties:
Uncorrected energy (eV per cell): -33.01
D(E_F) (states/eV/f.u.): 2.1

abc: 3.978 3.978 4.165
angles: 90.00 90.00 90.00
Last column: magnetic moment on the atom in μB.
Sites, in units of the cell vectors:
Pd1 0.000 0.500 0.000  -0.01
Pd2 0.500 0.000 0.000  -0.01
Zr1 0.500 0.500 0.500  -0.49
H1 0.000 0.000 0.000  -0.01
Mn1 0.000 0.000 0.500  2.58


Record 11
The following is a PBE calculation of a geometry-optimized Pm2MnH structure, from the Alexandria database.

Computed properties:
Uncorrected energy (eV per cell): -20.58
D(E_F) (states/eV/f.u.): 3.7

abc: 3.390 3.390 9.079
angles: 79.24 79.24 60.00
Last column: magnetic moment on the atom in μB.
Sites, in units of the cell vectors:
Pm1 0.110 0.110 0.669  -0.10
Pm2 0.890 0.890 0.331  -0.10
Mn1 0.000 0.000 0.000  3.88
H1 0.500 0.500 0.500  0.00


Record 12
The following is a PBE calculation of a geometry-optimized Pm3Mn5H12 structure, from the Alexandria database.

Computed properties:
Uncorrected energy (eV per cell): -413.47
D(E_F) (states/eV/f.u.): 6.2

abc: 10.012 10.012 10.012
angles: 109.47 109.47 109.47
Last column: magnetic moment on the atom in μB.
Sites, in units of the cell vectors:
H1 0.834 0.916 0.019  -0.01
H2 0.185 0.666 0.082  -0.01
H3 0.603 0.019 0.185  -0.01
H4 0.315 0.418 0.834  -0.01
H5 0.603 0.584 0.918  -0.01
H6 0.185 0.519 0.603  -0.01
H7 0.084 0.918 0.103  -0.01
H8 0.418 0.103 0.584  -0.01
H9 0.418 0.315 0.334  -0.01
H10 0.397 0.416 0.082  -0.01
H11 0.685 0.582 0.166  -0.01
H12 0.815 0.481 0.397  -0.01
H13 0.082 0.166 0.185  -0.01
H14 0.019 0.416 0.834  -0.01
H15 0.685 0.103 0.019  -0.01
H16 0.666 0.481 0.584  -0.01
H17 0.481 0.666 0.084  -0.01
H18 0.416 0.397 0.582  -0.01
H19 0.315 0.897 0.981  -0.01
H20 0.019 0.603 0.685  -0.01
H21 0.916 0.834 0.519  -0.01
H22 0.481 0.815 0.897  -0.01
H23 0.981 0.584 0.166  -0.01
H24 0.981 0.397 0.315  -0.01
H25 0.519 0.334 0.916  -0.01
H26 0.916 0.082 0.897  -0.01
H27 0.582 0.897 0.416  -0.01
H28 0.416 0.019 0.334  -0.01
H29 0.334 0.519 0.416  -0.01
H30 0.082 0.916 0.397  -0.01
H31 0.584 0.981 0.666  -0.01
H32 0.334 0.815 0.418  -0.01
H33 0.397 0.981 0.815  -0.01
H34 0.815 0.334 0.918  -0.01
H35 0.582 0.685 0.666  -0.01
H36 0.103 0.418 0.084  -0.01
H37 0.584 0.603 0.418  -0.01
H38 0.166 0.082 0.685  -0.01
H39 0.084 0.166 0.481  -0.01
H40 0.103 0.685 0.519  -0.01
H41 0.834 0.918 0.315  -0.01
H42 0.166 0.084 0.981  -0.01
H43 0.519 0.185 0.103  -0.01
H44 0.666 0.185 0.582  -0.01
H45 0.897 0.315 0.481  -0.01
H46 0.918 0.084 0.603  -0.01
H47 0.918 0.834 0.815  -0.01
H48 0.897 0.582 0.916  -0.01
Pm1 0.875 0.125 0.250  -0.22
Pm2 0.125 0.250 0.875  -0.22
Pm3 0.750 0.375 0.125  -0.22
Pm4 0.125 0.875 0.750  -0.22
Pm5 0.625 0.250 0.375  -0.22
Pm6 0.250 0.125 0.375  -0.22
Pm7 0.375 0.625 0.250  -0.22
Pm8 0.750 0.875 0.625  -0.22
Pm9 0.625 0.375 0.750  -0.22
Pm10 0.875 0.750 0.125  -0.22
Pm11 0.375 0.750 0.625  -0.22
Pm12 0.250 0.625 0.875  -0.22
Mn1 0.875 0.625 0.750  3.27
Mn2 0.000 0.500 0.000  0.51
Mn3 0.750 0.625 0.375  3.27
Mn4 0.250 0.375 0.625  3.27
Mn5 0.875 0.250 0.625  3.27
Mn6 0.375 0.125 0.750  3.27
Mn7 0.500 0.500 0.500  0.51
Mn8 0.000 0.000 0.500  0.51
Mn9 0.500 0.500 0.000  0.51
Mn10 0.750 0.125 0.875  3.27
Mn11 0.125 0.750 0.375  3.27
Mn12 0.250 0.875 0.125  3.27
Mn13 0.625 0.750 0.875  3.27
Mn14 0.625 0.875 0.250  3.27
Mn15 0.500 0.000 0.500  0.51
Mn16 0.125 0.375 0.250  3.27
Mn17 0.500 0.000 0.000  0.51
Mn18 0.000 0.000 0.000  0.51
Mn19 0.375 0.250 0.125  3.27
Mn20 0.000 0.500 0.500  0.51


Record 13
The following is a PBE calculation of a geometry-optimized PmMn2H7 structure, from the Alexandria database.

Computed properties:
Uncorrected energy (eV per cell): -48.03
D(E_F) (states/eV/f.u.): 3.3

abc: 3.478 4.914 5.173
angles: 118.36 90.00 90.00
Last column: magnetic moment on the atom in μB.
Sites, in units of the cell vectors:
H1 0.500 0.682 0.704  -0.02
H2 0.500 0.978 0.296  -0.02
H3 0.500 0.022 0.704  -0.02
H4 0.000 0.351 0.702  -0.02
H5 0.500 0.500 0.000  -0.03
H6 0.500 0.318 0.296  -0.02
H7 0.000 0.649 0.298  -0.02
Mn1 0.500 0.316 0.632  2.38
Mn2 0.500 0.684 0.368  2.38
Pm1 0.000 0.000 0.000  0.03


Record 14
The following is a PBE calculation of a geometry-optimized Pm2MnH6 structure, from the Alexandria database.

Computed properties:
Uncorrected energy (eV per cell): -43.28
D(E_F) (states/eV/f.u.): 3.1

abc: 5.042 5.042 5.042
angles: 60.00 60.00 60.00
Last column: magnetic moment on the atom in μB.
Sites, in units of the cell vectors:
Pm1 0.750 0.750 0.750  0.08
Pm2 0.250 0.250 0.250  0.08
H1 0.236 0.236 0.764  0.00
H2 0.764 0.236 0.236  0.00
H3 0.764 0.236 0.764  0.00
H4 0.236 0.764 0.236  0.00
H5 0.236 0.764 0.764  0.00
H6 0.764 0.764 0.236  0.00
Mn1 0.000 0.000 0.000  0.39


Record 15
The following is a PBE calculation of a geometry-optimized Pm2MnH4 structure, from the Alexandria database.

Computed properties:
Uncorrected energy (eV per cell): -34.20
D(E_F) (states/eV/f.u.): 4.1

abc: 3.486 3.486 7.560
angles: 76.67 76.67 90.00
Last column: magnetic moment on the atom in μB.
Sites, in units of the cell vectors:
Pm1 0.368 0.368 0.265  0.00
Pm2 0.632 0.632 0.735  0.00
H1 0.500 0.000 0.000  -0.01
H2 0.000 0.500 0.000  -0.01
H3 0.120 0.120 0.760  -0.01
H4 0.880 0.880 0.240  -0.01
Mn1 0.000 0.000 0.000  1.09


Record 16
The following is a PBE calculation of a geometry-optimized Pm2MnHPt6 structure, from the Alexandria database.

Computed properties:
Uncorrected energy (eV per cell): -65.54
D(E_F) (states/eV/f.u.): 3.9

abc: 6.989 5.685 7.000
angles: 66.02 48.04 89.99
Last column: magnetic moment on the atom in μB.
Sites, in units of the cell vectors:
Pt1 0.776 0.732 0.536  0.07
Pt2 0.269 0.227 0.041  0.07
Pt3 0.730 0.268 0.959  0.07
Pt4 0.224 0.268 0.464  0.07
Pt5 0.731 0.773 0.959  0.07
Pt6 0.270 0.732 0.041  0.07
Pm1 0.717 0.285 0.431  -0.05
Pm2 0.283 0.715 0.569  -0.05
H1 0.500 0.500 0.001  0.00
Mn1 0.000 0.000 0.000  3.17


Record 17
The following is a PBE calculation of a geometry-optimized PmMnH8Rh2 structure, from the Alexandria database.

Computed properties:
Uncorrected energy (eV per cell): -57.71
D(E_F) (states/eV/f.u.): 4.5

abc: 4.681 4.681 6.064
angles: 67.30 67.30 60.00
Last column: magnetic moment on the atom in μB.
Sites, in units of the cell vectors:
H1 0.812 0.812 0.564  0.00
H2 0.096 0.359 0.842  -0.01
H3 0.904 0.641 0.158  -0.01
H4 0.188 0.188 0.436  0.00
H5 0.641 0.297 0.158  -0.01
H6 0.359 0.703 0.842  -0.01
H7 0.703 0.096 0.842  -0.01
H8 0.297 0.904 0.158  -0.01
Mn1 0.000 0.000 0.000  3.02
Rh1 0.291 0.291 0.126  0.09
Rh2 0.709 0.709 0.874  0.09
Pm1 0.500 0.500 0.500  -0.05


Record 18
The following is a PBE calculation of a geometry-optimized Pr12Mn3H5 structure, from the Alexandria database.

Computed properties:
Uncorrected energy (eV per cell): -405.37
D(E_F) (states/eV/f.u.): 25.8

abc: 13.771 13.771 13.771
angles: 109.47 109.47 109.47
Last column: magnetic moment on the atom in μB.
Sites, in units of the cell vectors:
H1 0.000 0.500 0.500  0.00
H2 0.250 0.375 0.625  0.00
H3 0.125 0.375 0.250  0.00
H4 0.000 0.000 0.500  0.00
H5 0.500 0.000 0.500  0.00
H6 0.000 0.000 0.000  0.00
H7 0.500 0.000 0.000  0.00
H8 0.000 0.500 0.000  0.00
H9 0.375 0.250 0.125  0.00
H10 0.125 0.750 0.375  0.00
H11 0.500 0.500 0.000  0.00
H12 0.625 0.875 0.250  0.00
H13 0.875 0.625 0.750  0.00
H14 0.750 0.125 0.875  0.00
H15 0.375 0.125 0.750  0.00
H16 0.750 0.625 0.375  0.00
H17 0.250 0.875 0.125  0.00
H18 0.500 0.500 0.500  0.00
H19 0.875 0.250 0.625  0.00
H20 0.625 0.750 0.875  0.00
Pr1 0.594 0.882 0.406  -0.15
Pr2 0.406 0.024 0.311  -0.15
Pr3 0.213 0.689 0.094  -0.15
Pr4 0.382 0.976 0.787  -0.15
Pr5 0.189 0.094 0.976  -0.15
Pr6 0.811 0.906 0.287  -0.15
Pr7 0.811 0.906 0.024  -0.15
Pr8 0.787 0.311 0.906  -0.15
Pr9 0.594 0.618 0.406  -0.15
Pr10 0.406 0.287 0.311  -0.15
Pr11 0.906 0.094 0.618  -0.15
Pr12 0.287 0.406 0.811  -0.15
Pr13 0.476 0.787 0.882  -0.15
Pr14 0.024 0.406 0.811  -0.15
Pr15 0.094 0.906 0.382  -0.15
Pr16 0.906 0.094 0.882  -0.15
Pr17 0.094 0.189 0.213  -0.15
Pr18 0.618 0.594 0.906  -0.15
Pr19 0.524 0.213 0.118  -0.15
Pr20 0.406 0.382 0.594  -0.15
Pr21 0.476 0.689 0.094  -0.15
Pr22 0.024 0.618 0.713  -0.15
Pr23 0.213 0.524 0.618  -0.15
Pr24 0.882 0.287 0.476  -0.15
Pr25 0.524 0.311 0.906  -0.15
Pr26 0.906 0.811 0.524  -0.15
Pr27 0.882 0.594 0.906  -0.15
Pr28 0.189 0.094 0.713  -0.15
Pr29 0.618 0.024 0.213  -0.15
Pr30 0.713 0.594 0.189  -0.15
Pr31 0.311 0.787 0.406  -0.15
Pr32 0.713 0.118 0.024  -0.15
Pr33 0.976 0.594 0.189  -0.15
Pr34 0.406 0.118 0.594  -0.15
Pr35 0.118 0.713 0.524  -0.15
Pr36 0.689 0.476 0.594  -0.15
Pr37 0.787 0.476 0.382  -0.15
Pr38 0.594 0.976 0.689  -0.15
Pr39 0.906 0.811 0.787  -0.15
Pr40 0.382 0.406 0.094  -0.15
Pr41 0.976 0.382 0.287  -0.15
Pr42 0.689 0.213 0.594  -0.15
Pr43 0.094 0.906 0.118  -0.15
Pr44 0.311 0.524 0.406  -0.15
Pr45 0.094 0.189 0.476  -0.15
Pr46 0.118 0.406 0.094  -0.15
Pr47 0.287 0.882 0.976  -0.15
Pr48 0.594 0.713 0.689  -0.15
Mn1 0.250 0.625 0.875  3.18
Mn2 0.875 0.750 0.125  3.18
Mn3 0.375 0.625 0.250  3.18
Mn4 0.750 0.875 0.625  3.18
Mn5 0.125 0.250 0.875  3.18
Mn6 0.625 0.250 0.375  3.18
Mn7 0.250 0.125 0.375  3.18
Mn8 0.875 0.125 0.250  3.18
Mn9 0.625 0.375 0.750  3.18
Mn10 0.125 0.875 0.750  3.18
Mn11 0.750 0.375 0.125  3.18
Mn12 0.375 0.750 0.625  3.18


Record 19
The following is a PBE calculation of a geometry-optimized PrMnH6 structure, from the Alexandria database.

Computed properties:
Energy above the lowest structure with this stoichiometry (meV/atom): 0.0
D(E_F) (states/eV/f.u.): 3.0

abc: 4.638 4.638 4.639
angles: 58.76 58.76 58.76
Last column: magnetic moment on the atom in μB.
Sites, in units of the cell vectors:
H1 0.076 0.597 0.597  -0.01
H2 0.597 0.597 0.076  -0.01
H3 0.403 0.403 0.924  -0.01
H4 0.924 0.403 0.403  -0.01
H5 0.403 0.924 0.403  -0.01
H6 0.597 0.076 0.597  -0.01
Mn1 0.500 0.500 0.500  2.08
Pr1 0.000 0.000 0.000  -0.06